No. 1
UP3 after structural relaxation. Source: the Alexandria database, functional PBE.

Geometry as CIF:
```
data_UP3
_chemical_formula_sum 'U2 P6'
_cell_length_a 5.4122
_cell_length_b 5.4122
_cell_length_c 5.2438
_cell_angle_alpha 90.00
_cell_angle_beta 90.00
_cell_angle_gamma 120.00
_symmetry_space_group_name_H-M 'P 63/m m c'
_symmetry_Int_Tables_number 194
_symmetry_space_group_name_Hall '-P 6c 2c'
loop_
_atom_site_label
_atom_site_type_symbol
_atom_site_fract_x
_atom_site_fract_y
_atom_site_fract_z
_atom_site_occupancy
U1 U 0.3333 0.6667 0.2500 1
P1 P 0.1821 0.3643 0.7500 1
```

***

No. 2
YHo4Tl7 after structural relaxation. Source: the Alexandria database, functional PBE.

Geometry as CIF:
```
data_YHo4Tl7
_chemical_formula_sum 'Y2 Ho8 Tl14'
_cell_length_a 13.497
_cell_length_b 5.662
_cell_length_c 11.330
_cell_angle_alpha 90.00
_cell_angle_beta 123.65
_cell_angle_gamma 90.00
_symmetry_space_group_name_H-M 'C 1 2/m 1'
_symmetry_Int_Tables_number 12
loop_
_symmetry_equiv_pos_as_xyz
'x,y,z'
'-x,-y,-z'
'-x,y,-z'
'x,-y,z'
'x+1/2,y+1/2,z'
'-x+1/2,-y+1/2,-z'
'-x+1/2,y+1/2,-z'
'x+1/2,-y+1/2,z'
loop_
_atom_site_label
_atom_site_type_symbol
_atom_site_fract_x
_atom_site_fract_y
_atom_site_fract_z
_atom_site_occupancy
Y1 Y 0.000 0.000 0.000 1
Ho1 Ho 0.084 0.500 0.784 1
Ho2 Ho 0.218 0.500 0.327 1
Tl1 Tl 0.000 0.500 0.000 1
Tl2 Tl 0.082 0.000 0.328 1
Tl3 Tl 0.134 0.500 0.545 1
Tl4 Tl 0.214 0.000 0.895 1
```

***

No. 3
# Ac2NdPd2 (PBE, optimized geometry)
data_Ac2NdPd2
_chemical_formula_sum 'Ac4 Nd2 Pd4'
_cell_length_a 8.320
_cell_length_b 8.320
_cell_length_c 4.239
_cell_angle_alpha 90.00
_cell_angle_beta 90.00
_cell_angle_gamma 90.00
_symmetry_space_group_name_H-M 'P 4/m b m'
_symmetry_Int_Tables_number 127
_symmetry_space_group_name_Hall '-P 4 2ab'
loop_
_atom_site_label
_atom_site_type_symbol
_atom_site_fract_x
_atom_site_fract_y
_atom_site_fract_z
_atom_site_occupancy
Ac1 Ac 0.169 0.331 0.000 1
Nd1 Nd 0.000 0.000 0.500 1
Pd1 Pd 0.129 0.629 0.500 1
# Distance to the lowest polymorph of the same formula = 0.0000 eV/atom

***

No. 4
TaGeHRh2 after structural relaxation. Source: the Alexandria database, functional PBE.

Geometry as CIF:
```
data_TaGeHRh2
_chemical_formula_sum 'Ta1 Ge1 H1 Rh2'
_cell_length_a 3.920
_cell_length_b 3.920
_cell_length_c 4.143
_cell_angle_alpha 90.00
_cell_angle_beta 90.00
_cell_angle_gamma 90.00
_symmetry_space_group_name_H-M 'P 4/m m m'
_symmetry_Int_Tables_number 123
_symmetry_space_group_name_Hall '-P 4 2'
loop_
_atom_site_label
_atom_site_type_symbol
_atom_site_fract_x
_atom_site_fract_y
_atom_site_fract_z
_atom_site_occupancy
Ta1 Ta 0.000 0.000 0.000 1
Ge1 Ge 0.500 0.500 0.000 1
H1 H 0.000 0.000 0.500 1
Rh1 Rh 0.000 0.500 0.500 1
```

***

No. 5
# SiAgPt2 (PBE, optimized geometry)
data_SiAgPt2
_chemical_formula_sum 'Si1 Ag1 Pt2'
_cell_length_a 3.411
_cell_length_b 3.852
_cell_length_c 5.263
_cell_angle_alpha 90.00
_cell_angle_beta 108.75
_cell_angle_gamma 90.00
_symmetry_space_group_name_H-M 'P 1 m 1'
_symmetry_Int_Tables_number 6
loop_
_symmetry_equiv_pos_as_xyz
'x,y,z'
'x,-y,z'
loop_
_atom_site_label
_atom_site_type_symbol
_atom_site_fract_x
_atom_site_fract_y
_atom_site_fract_z
_atom_site_occupancy
Si1 Si 0.000 0.000 0.000 1
Ag1 Ag 0.594 0.500 0.191 1
Pt1 Pt 0.233 0.000 0.469 1
Pt2 Pt 0.869 0.500 0.738 1
# Raw formation energy = -0.212 eV per atom

***

No. 6
NaInC after structural relaxation. Source: the Alexandria database, functional PBE.

Geometry as CIF:
```
data_NaInC
_chemical_formula_sum 'Na2 In2 C2'
_cell_length_a 3.478
_cell_length_b 6.210
_cell_length_c 6.642
_cell_angle_alpha 108.23
_cell_angle_beta 91.41
_cell_angle_gamma 90.09
_symmetry_space_group_name_H-M 'P -1'
_symmetry_Int_Tables_number 2
loop_
_symmetry_equiv_pos_as_xyz
'x,y,z'
'-x,-y,-z'
loop_
_atom_site_label
_atom_site_type_symbol
_atom_site_fract_x
_atom_site_fract_y
_atom_site_fract_z
_atom_site_occupancy
Na1 Na 0.010 0.278 0.225 1
In1 In 0.482 0.222 0.678 1
C1 C 0.496 0.053 0.933 1
```

***

No. 7
# PmY3Er2Se6 (PBE, optimized geometry)
data_PmY3Er2Se6
_chemical_formula_sum 'Pm2 Y6 Er4 Se12'
_cell_length_a 7.062
_cell_length_b 12.294
_cell_length_c 7.083
_cell_angle_alpha 90.00
_cell_angle_beta 109.44
_cell_angle_gamma 90.00
_symmetry_space_group_name_H-M 'C 1 2/m 1'
_symmetry_Int_Tables_number 12
loop_
_symmetry_equiv_pos_as_xyz
'x,y,z'
'-x,-y,-z'
'-x,y,-z'
'x,-y,z'
'x+1/2,y+1/2,z'
'-x+1/2,-y+1/2,-z'
'-x+1/2,y+1/2,-z'
'x+1/2,-y+1/2,z'
loop_
_atom_site_label
_atom_site_type_symbol
_atom_site_fract_x
_atom_site_fract_y
_atom_site_fract_z
_atom_site_occupancy
Pm1 Pm 0.000 0.000 0.000 1
Y1 Y 0.000 0.159 0.500 1
Y2 Y 0.000 0.500 0.500 1
Er1 Er 0.000 0.335 0.000 1
Se1 Se 0.239 0.500 0.246 1
Se2 Se 0.245 0.328 0.748 1
# Raw formation energy = -1.755 eV per atom

***

No. 8
# Ru2Pt2Br (PBE, optimized geometry)
data_Ru2Pt2Br
_chemical_formula_sum 'Ru4 Pt4 Br2'
_cell_length_a 3.775
_cell_length_b 3.775
_cell_length_c 12.401
_cell_angle_alpha 90.00
_cell_angle_beta 90.00
_cell_angle_gamma 90.00
_symmetry_space_group_name_H-M 'I 4/m m m'
_symmetry_Int_Tables_number 139
_symmetry_space_group_name_Hall '-I 4 2'
loop_
_atom_site_label
_atom_site_type_symbol
_atom_site_fract_x
_atom_site_fract_y
_atom_site_fract_z
_atom_site_occupancy
Ru1 Ru 0.000 0.000 0.097 1
Pt1 Pt 0.000 0.500 0.250 1
Br1 Br 0.000 0.000 0.500 1
# Raw formation energy = 0.658 eV per atom

***

No. 9
Sr3Al2Hg4Bi2 after structural relaxation. Source: the Alexandria database, functional PBE.

Geometry as CIF:
```
data_Sr3Al2Hg4Bi2
_chemical_formula_sum 'Sr6 Al4 Hg8 Bi4'
_cell_length_a 4.962
_cell_length_b 4.962
_cell_length_c 26.831
_cell_angle_alpha 90.00
_cell_angle_beta 90.00
_cell_angle_gamma 90.00
_symmetry_space_group_name_H-M 'I 4/m m m'
_symmetry_Int_Tables_number 139
_symmetry_space_group_name_Hall '-I 4 2'
loop_
_atom_site_label
_atom_site_type_symbol
_atom_site_fract_x
_atom_site_fract_y
_atom_site_fract_z
_atom_site_occupancy
Sr1 Sr 0.000 0.000 0.000 1
Sr2 Sr 0.000 0.000 0.191 1
Al1 Al 0.000 0.000 0.450 1
Hg1 Hg 0.000 0.500 0.093 1
Bi1 Bi 0.000 0.000 0.321 1
```

***

No. 10
Ac4Mg3Ga after structural relaxation. Source: the Alexandria database, functional PBE.

Geometry as CIF:
```
data_Ac4Mg3Ga
_chemical_formula_sum 'Ac4 Mg3 Ga1'
_cell_length_a 4.041
_cell_length_b 4.041
_cell_length_c 16.468
_cell_angle_alpha 90.00
_cell_angle_beta 90.00
_cell_angle_gamma 90.00
_symmetry_space_group_name_H-M 'P 4/m m m'
_symmetry_Int_Tables_number 123
_symmetry_space_group_name_Hall '-P 4 2'
loop_
_atom_site_label
_atom_site_type_symbol
_atom_site_fract_x
_atom_site_fract_y
_atom_site_fract_z
_atom_site_occupancy
Ac1 Ac 0.000 0.000 0.112 1
Ac2 Ac 0.000 0.000 0.372 1
Mg1 Mg 0.500 0.500 0.246 1
Mg2 Mg 0.500 0.500 0.500 1
Ga1 Ga 0.500 0.500 0.000 1
```

***

No. 11
# GdRhSe (PBE, optimized geometry)
data_GdRhSe
_chemical_formula_sum 'Gd1 Rh1 Se1'
_cell_length_a 4.3210
_cell_length_b 4.3210
_cell_length_c 3.7262
_cell_angle_alpha 90.00
_cell_angle_beta 90.00
_cell_angle_gamma 120.00
_symmetry_space_group_name_H-M 'P -6 m 2'
_symmetry_Int_Tables_number 187
_symmetry_space_group_name_Hall 'P -6 2'
loop_
_atom_site_label
_atom_site_type_symbol
_atom_site_fract_x
_atom_site_fract_y
_atom_site_fract_z
_atom_site_occupancy
Gd1 Gd 0.0000 0.0000 0.0000 1
Rh1 Rh 0.3333 0.6667 0.5000 1
Se1 Se 0.6667 0.3333 0.5000 1
# Raw formation energy = -1.186 eV per atom

***

No. 12
Sr2Mg4CdAg3 after structural relaxation. Source: the Alexandria database, functional PBE.

Geometry as CIF:
```
data_Sr2Mg4CdAg3
_chemical_formula_sum 'Sr2 Mg4 Cd1 Ag3'
_cell_length_a 4.691
_cell_length_b 4.691
_cell_length_c 11.825
_cell_angle_alpha 90.00
_cell_angle_beta 90.00
_cell_angle_gamma 90.00
_symmetry_space_group_name_H-M 'P -4 m 2'
_symmetry_Int_Tables_number 115
loop_
_symmetry_equiv_pos_as_xyz
'x,y,z'
'y,-x,-z'
'-x,-y,z'
'-y,x,-z'
'-x,y,z'
'-y,-x,-z'
'x,-y,z'
'y,x,-z'
loop_
_atom_site_label
_atom_site_type_symbol
_atom_site_fract_x
_atom_site_fract_y
_atom_site_fract_z
_atom_site_occupancy
Sr1 Sr 0.000 0.500 0.249 1
Mg1 Mg 0.000 0.000 0.000 1
Mg2 Mg 0.000 0.500 0.636 1
Mg3 Mg 0.500 0.500 0.000 1
Cd1 Cd 0.000 0.000 0.500 1
Ag1 Ag 0.000 0.500 0.866 1
Ag2 Ag 0.500 0.500 0.500 1
```

***

no.,total DFT energy (no corrections) (eV/atom),total magnetic moment (μB per cell)
1,-7.491,0.0
2,-3.551,0.0
3,-5.323,0.0
4,-7.130,0.0
5,-5.301,0.0
6,-4.138,0.0
7,-6.269,0.0
8,-5.804,1.5
9,-2.315,0.0
10,-3.196,0.0
11,-9.492,7.0
12,-2.121,0.0